[1]
Compound: PuPO4
Source: Alexandria via LeMat-Bulk
Functional: meta-GGA SCAN
Structure: PBEsol geometry

Calculated values
ΔE_f (raw): -17.6 eV per formula unit

```
data_PuPO4
_chemical_formula_sum 'Pu4 P4 O16'
_symmetry_space_group_name_H-M 'P 1 21/c 1'
_symmetry_Int_Tables_number 14
_cell_length_a 6.3602
_cell_length_b 6.9393
_cell_length_c 8.0552
_cell_angle_alpha 90.00
_cell_angle_beta 126.06
_cell_angle_gamma 90.00
loop_
_symmetry_equiv_pos_as_xyz
'x,y,z'
'-x,-y,-z'
'-x,y+1/2,-z+1/2'
'x,-y+1/2,z+1/2'
loop_
_atom_site_label
_atom_site_type_symbol
_atom_site_fract_x
_atom_site_fract_y
_atom_site_fract_z
Pu1 Pu 0.1822 0.1626 0.2830
P1 P 0.3080 0.6655 0.1946
O1 O 0.1135 0.6631 0.6153
O2 O 0.1902 0.5067 0.2518
O3 O 0.3358 0.6060 0.0233
O4 O 0.4106 0.2174 0.1255
```

[2]
Compound: Mn3Tc
Source: Alexandria via LeMat-Bulk
Functional: meta-GGA SCAN
Structure: PBEsol geometry

Calculated values
E_form: -0.0101 eV/atom

```
data_Mn3Tc
_chemical_formula_sum 'Mn6 Tc2'
_symmetry_space_group_name_H-M 'I m m m'
_symmetry_Int_Tables_number 71
_symmetry_space_group_name_Hall '-I 2 2'
_cell_length_a 3.0863
_cell_length_b 3.8928
_cell_length_c 7.7237
_cell_angle_alpha 90.00
_cell_angle_beta 90.00
_cell_angle_gamma 90.00
loop_
_atom_site_label
_atom_site_type_symbol
_atom_site_fract_x
_atom_site_fract_y
_atom_site_fract_z
Mn1 Mn 0.0000 0.0000 0.0000
Mn2 Mn 0.0000 0.5000 0.2524
Tc1 Tc 0.0000 0.0000 0.5000
```

[3]
Compound: Ba2ScTaO6
Source: Alexandria via LeMat-Bulk
Functional: meta-GGA SCAN
Structure: PBEsol geometry

Calculated values
ΔE_f (raw): -34.8 eV per formula unit

```
data_Ba2ScTaO6
_chemical_formula_sum 'Ba8 Sc4 Ta4 O24'
_symmetry_space_group_name_H-M 'F m -3 m'
_symmetry_Int_Tables_number 225
_symmetry_space_group_name_Hall '-F 4 2 3'
_cell_length_a 8.2175
_cell_length_b 8.2175
_cell_length_c 8.2175
_cell_angle_alpha 90.00
_cell_angle_beta 90.00
_cell_angle_gamma 90.00
loop_
_atom_site_label
_atom_site_type_symbol
_atom_site_fract_x
_atom_site_fract_y
_atom_site_fract_z
Ba1 Ba 0.2500 0.2500 0.2500
Sc1 Sc 0.0000 0.0000 0.0000
Ta1 Ta 0.0000 0.0000 0.5000
O1 O 0.0000 0.0000 0.2568
```

[4]
Compound: KAlP4
Source: Alexandria via LeMat-Bulk
Functional: meta-GGA SCAN
Structure: PBEsol geometry

Calculated values
E_form: -0.4312 eV/atom

```
data_KAlP4
_chemical_formula_sum 'K4 Al4 P16'
_symmetry_space_group_name_H-M 'P n m a'
_symmetry_Int_Tables_number 62
_cell_length_a 9.7447
_cell_length_b 3.5305
_cell_length_c 16.1677
_cell_angle_alpha 90.00
_cell_angle_beta 90.00
_cell_angle_gamma 90.00
loop_
_symmetry_equiv_pos_as_xyz
'x,y,z'
'-x,-y,-z'
'-x+1/2,-y,z+1/2'
'x+1/2,y,-z+1/2'
'x+1/2,-y+1/2,-z+1/2'
'-x+1/2,y+1/2,z+1/2'
'-x,y+1/2,-z'
'x,-y+1/2,z'
loop_
_atom_site_label
_atom_site_type_symbol
_atom_site_fract_x
_atom_site_fract_y
_atom_site_fract_z
K1 K 0.1824 0.2500 0.0708
Al1 Al 0.1542 0.7500 0.3599
P1 P 0.0315 0.2500 0.5410
P2 P 0.0544 0.7500 0.2240
P3 P 0.0950 0.7500 0.7606
P4 P 0.1920 0.7500 0.8851
```

[5]
Compound: BaGeSe2N
Source: Alexandria via LeMat-Bulk
Functional: meta-GGA SCAN
Structure: PBEsol geometry

Calculated values
ΔE_f (raw): 4.9 eV per formula unit

```
data_BaGeSe2N
_chemical_formula_sum 'Ba1 Ge1 Se2 N1'
_symmetry_space_group_name_H-M 'P 4/m m m'
_symmetry_Int_Tables_number 123
_symmetry_space_group_name_Hall '-P 4 2'
_cell_length_a 5.9183
_cell_length_b 5.9183
_cell_length_c 4.8955
_cell_angle_alpha 90.00
_cell_angle_beta 90.00
_cell_angle_gamma 90.00
loop_
_atom_site_label
_atom_site_type_symbol
_atom_site_fract_x
_atom_site_fract_y
_atom_site_fract_z
Ba1 Ba 0.0000 0.0000 0.0000
Ge1 Ge 0.5000 0.5000 0.5000
Se1 Se 0.0000 0.5000 0.0000
N1 N 0.0000 0.0000 0.5000
```

[6]
Compound: Zr2TaTeN
Source: Alexandria via LeMat-Bulk
Functional: meta-GGA SCAN
Structure: PBEsol geometry

Calculated values
ΔE_f (raw): 8.2 eV per formula unit

```
data_Zr2TaTeN
_chemical_formula_sum 'Zr2 Ta1 Te1 N1'
_symmetry_space_group_name_H-M 'P 4/m m m'
_symmetry_Int_Tables_number 123
_symmetry_space_group_name_Hall '-P 4 2'
_cell_length_a 5.0934
_cell_length_b 5.0934
_cell_length_c 5.0562
_cell_angle_alpha 90.00
_cell_angle_beta 90.00
_cell_angle_gamma 90.00
loop_
_atom_site_label
_atom_site_type_symbol
_atom_site_fract_x
_atom_site_fract_y
_atom_site_fract_z
Zr1 Zr 0.0000 0.5000 0.0000
Ta1 Ta 0.0000 0.0000 0.0000
Te1 Te 0.0000 0.0000 0.5000
N1 N 0.5000 0.5000 0.5000
```

[7]
Compound: YMnSe2
Source: Alexandria via LeMat-Bulk
Functional: meta-GGA SCAN
Structure: PBEsol geometry

Calculated values
ΔE_f (raw): -5.8 eV per formula unit

```
data_YMnSe2
_chemical_formula_sum 'Y2 Mn2 Se4'
_symmetry_space_group_name_H-M 'A m m 2'
_symmetry_Int_Tables_number 38
_cell_length_a 3.7738
_cell_length_b 3.7068
_cell_length_c 12.3816
_cell_angle_alpha 90.00
_cell_angle_beta 90.00
_cell_angle_gamma 90.00
loop_
_symmetry_equiv_pos_as_xyz
'x,y,z'
'-x,-y,z'
'-x,y,z'
'x,-y,z'
'x,y+1/2,z+1/2'
'-x,-y+1/2,z+1/2'
'-x,y+1/2,z+1/2'
'x,-y+1/2,z+1/2'
loop_
_atom_site_label
_atom_site_type_symbol
_atom_site_fract_x
_atom_site_fract_y
_atom_site_fract_z
Y1 Y 0.0000 0.0000 0.0000
Mn1 Mn 0.5000 0.0000 0.2162
Se1 Se 0.0000 0.0000 0.6780
Se2 Se 0.5000 0.0000 0.4175
```

[8]
Compound: InReGeRh2
Source: Alexandria via LeMat-Bulk
Functional: meta-GGA SCAN
Structure: PBEsol geometry

Calculated values
E_form: 0.7399 eV/atom

```
data_InReGeRh2
_chemical_formula_sum 'In1 Re1 Ge1 Rh2'
_symmetry_space_group_name_H-M 'P 4/m m m'
_symmetry_Int_Tables_number 123
_symmetry_space_group_name_Hall '-P 4 2'
_cell_length_a 4.4405
_cell_length_b 4.4405
_cell_length_c 4.5917
_cell_angle_alpha 90.00
_cell_angle_beta 90.00
_cell_angle_gamma 90.00
loop_
_atom_site_label
_atom_site_type_symbol
_atom_site_fract_x
_atom_site_fract_y
_atom_site_fract_z
In1 In 0.0000 0.0000 0.0000
Re1 Re 0.5000 0.5000 0.0000
Ge1 Ge 0.5000 0.5000 0.5000
Rh1 Rh 0.0000 0.5000 0.5000
```

[9]
Compound: BaZr2Fe
Source: Alexandria via LeMat-Bulk
Functional: meta-GGA SCAN
Structure: PBEsol geometry

Calculated values
E_form: 0.3330 eV/atom

```
data_BaZr2Fe
_chemical_formula_sum 'Ba2 Zr4 Fe2'
_symmetry_space_group_name_H-M 'C 1 m 1'
_symmetry_Int_Tables_number 8
_cell_length_a 6.9397
_cell_length_b 3.7271
_cell_length_c 8.3883
_cell_angle_alpha 90.00
_cell_angle_beta 106.79
_cell_angle_gamma 90.00
loop_
_symmetry_equiv_pos_as_xyz
'x,y,z'
'x,-y,z'
'x+1/2,y+1/2,z'
'x+1/2,-y+1/2,z'
loop_
_atom_site_label
_atom_site_type_symbol
_atom_site_fract_x
_atom_site_fract_y
_atom_site_fract_z
Ba1 Ba 0.0000 0.0000 0.0000
Zr1 Zr 0.1863 0.0000 0.6353
Zr2 Zr 0.4252 0.0000 0.3567
Fe1 Fe 0.3037 0.5000 0.4928
```

[10]
Compound: Mn3HIr
Source: Alexandria via LeMat-Bulk
Functional: meta-GGA SCAN
Structure: PBEsol geometry

```
data_Mn3HIr
_chemical_formula_sum 'Mn3 H1 Ir1'
_symmetry_space_group_name_H-M 'P m -3 m'
_symmetry_Int_Tables_number 221
_symmetry_space_group_name_Hall '-P 4 2 3'
_cell_length_a 3.6081
_cell_length_b 3.6081
_cell_length_c 3.6081
_cell_angle_alpha 90.00
_cell_angle_beta 90.00
_cell_angle_gamma 90.00
loop_
_atom_site_label
_atom_site_type_symbol
_atom_site_fract_x
_atom_site_fract_y
_atom_site_fract_z
Mn1 Mn 0.0000 0.0000 0.5000
H1 H 0.0000 0.0000 0.0000
Ir1 Ir 0.5000 0.5000 0.5000
```

[11]
Compound: Mn8Si8Mo3
Source: Alexandria via LeMat-Bulk
Functional: meta-GGA SCAN
Structure: PBEsol geometry

Calculated values
ΔE_f (raw): -8.7 eV per formula unit

```
data_Mn8Si8Mo3
_chemical_formula_sum 'Mn32 Si32 Mo12'
_symmetry_space_group_name_H-M 'P n m a'
_symmetry_Int_Tables_number 62
_cell_length_a 12.5746
_cell_length_b 4.7621
_cell_length_c 15.0422
_cell_angle_alpha 90.00
_cell_angle_beta 90.00
_cell_angle_gamma 90.00
loop_
_symmetry_equiv_pos_as_xyz
'x,y,z'
'-x,-y,-z'
'-x+1/2,-y,z+1/2'
'x+1/2,y,-z+1/2'
'x+1/2,-y+1/2,-z+1/2'
'-x+1/2,y+1/2,z+1/2'
'-x,y+1/2,-z'
'x,-y+1/2,z'
loop_
_atom_site_label
_atom_site_type_symbol
_atom_site_fract_x
_atom_site_fract_y
_atom_site_fract_z
Mn1 Mn 0.0468 0.2500 0.0948
Mn2 Mn 0.0596 0.5059 0.3781
Mn3 Mn 0.1223 0.7500 0.9953
Mn4 Mn 0.1333 0.5169 0.8278
Mn5 Mn 0.1363 0.7500 0.6572
Mn6 Mn 0.1895 0.2500 0.2492
Si1 Si 0.0065 0.2500 0.2482
Si2 Si 0.0497 0.2500 0.9414
Si3 Si 0.0522 0.7500 0.5184
Si4 Si 0.0907 0.2500 0.6997
Si5 Si 0.2105 0.7500 0.3050
Si6 Si 0.2127 0.5013 0.1185
Si7 Si 0.2246 0.2500 0.3983
Mo1 Mo 0.0655 0.7500 0.1959
Mo2 Mo 0.1348 0.2500 0.5428
Mo3 Mo 0.2489 0.7500 0.4721
```

[12]
Compound: CaZrO3
Source: Alexandria via LeMat-Bulk
Functional: meta-GGA SCAN
Structure: PBEsol geometry

Calculated values
ΔE_f (raw): -18.0 eV per formula unit

```
data_CaZrO3
_chemical_formula_sum 'Ca8 Zr8 O24'
_symmetry_space_group_name_H-M 'P b a m'
_symmetry_Int_Tables_number 55
_cell_length_a 5.7321
_cell_length_b 11.2890
_cell_length_c 7.9892
_cell_angle_alpha 90.00
_cell_angle_beta 90.00
_cell_angle_gamma 90.00
loop_
_symmetry_equiv_pos_as_xyz
'x,y,z'
'-x,-y,-z'
'-x,-y,z'
'x,y,-z'
'x+1/2,-y+1/2,-z'
'-x+1/2,y+1/2,z'
'-x+1/2,y+1/2,-z'
'x+1/2,-y+1/2,z'
loop_
_atom_site_label
_atom_site_type_symbol
_atom_site_fract_x
_atom_site_fract_y
_atom_site_fract_z
Ca1 Ca 0.2065 0.1372 0.0000
Ca2 Ca 0.2430 0.1116 0.5000
Zr1 Zr 0.2411 0.3745 0.2502
O1 O 0.0000 0.0000 0.3103
O2 O 0.0000 0.5000 0.3217
O3 O 0.0273 0.7397 0.1845
O4 O 0.2280 0.9320 0.0000
O5 O 0.2429 0.8162 0.5000
```

Number 1: density 7.83 g cm⁻³, size of the total moment 5.0 μB per formula unit, E -27.174 eV/atom. Number 2: density 9.41 g cm⁻³, size of the total moment 1.7 μB per formula unit, E -22.466 eV/atom. Number 3: density 7.14 g cm⁻³, size of the total moment 0.0 μB per formula unit, E -23.212 eV/atom. Number 4: density 2.27 g cm⁻³, size of the total moment 0.0 μB per formula unit, E -10.044 eV/atom. Number 5: density 3.70 g cm⁻³, size of the total moment 3.0 μB per formula unit, E -20.628 eV/atom. Number 6: density 6.39 g cm⁻³, size of the total moment 0.4 μB per formula unit, E -33.267 eV/atom. Number 7: density 5.79 g cm⁻³, size of the total moment 4.2 μB per formula unit, E -23.014 eV/atom. Number 8: density 10.63 g cm⁻³, size of the total moment 0.0 μB per formula unit, E -37.483 eV/atom. Number 9: density 6.01 g cm⁻³, size of the total moment 0.0 μB per formula unit, E -29.436 eV/atom. Number 10: density 12.66 g cm⁻³, size of the total moment 3.7 μB per formula unit, E -25.967 eV/atom. Number 11: density 7.02 g cm⁻³, size of the total moment 11.7 μB per formula unit, E -17.869 eV/atom. Number 12: density 4.61 g cm⁻³, size of the total moment 0.0 μB per formula unit, E -15.418 eV/atom.